{"formula": "NaY3Tc", "functional": "PBE", "state": "optimized geometry", "e_above_lowest_polymorph_mev_per_atom": 0, "space_group": "No. 221", "energy_ev_per_cell": -30.2, "cell": [[5.464, 0.000, 0.000], [0.000, 5.464, 0.000], [0.000, 0.000, 5.464]], "species": ["Na", "Y", "Y", "Y", "Tc"], "fractional_positions": [[0.000, 0.000, 0.000], [0.000, 0.500, 0.500], [0.500, 0.000, 0.500], [0.500, 0.500, 0.000], [0.500, 0.500, 0.500]]}